Record 1
This record from the Alexandria database describes an optimized crystal structure of TcHg2Sb. The functional is PBE.

Calculated values
E ... -12.8 eV/f.u.

abc: 3.1044 3.1044 9.2259
angles: 90.00 90.00 90.00
Last column: nearest neighbours and their distance in Å.
Element x y z (fractional)
Hg 0.0000 0.0000 0.9593  4 Tc 2.92, 4 Hg 3.10
Hg 0.0000 0.0000 0.5407  4 Tc 2.92, 4 Hg 3.10
Sb 0.5000 0.5000 0.2500  4 Sb 3.10, 8 Hg 3.47
Tc 0.5000 0.5000 0.7500  8 Hg 2.92, 4 Tc 3.10


Record 2
This record from the Alexandria database describes an optimized crystal structure of Cu2ReSe. The functional is PBE.

Calculated values
E ... -21.9 eV/f.u.

abc: 2.7482 2.7482 8.8531
angles: 90.00 90.00 116.16
Last column: nearest neighbours and their distance in Å.
Element x y z (fractional)
Cu 0.0000 0.0000 0.0222  6 Cu 2.45-2.75
Cu 0.5000 0.5000 0.2456  6 Cu 2.45-2.75, 2 Re 2.60
Re 0.0000 0.0000 0.4897  2 Cu 2.60, 2 Se 2.67, 6 Re 2.75-2.91
Se 0.5000 0.5000 0.7424  2 Re 2.67, 6 Se 2.75-2.91, 2 Cu 2.87


Record 3
This record from the Alexandria database describes an optimized crystal structure of LuInCo2. The functional is PBE.

Calculated values
E ... -21.8 eV/f.u.

abc: 3.2292 3.2292 6.2148
angles: 90.00 90.00 90.00
Last column: nearest neighbours and their distance in Å.
Element x y z (fractional)
Lu 0.5000 0.5000 0.0000  8 Co 2.81, 2 In 3.11
Co 0.0000 0.0000 0.7373  4 In 2.72, 4 Lu 2.81, 1 Co 2.95
Co 0.0000 0.0000 0.2627  4 In 2.72, 4 Lu 2.81, 1 Co 2.95
In 0.5000 0.5000 0.5000  8 Co 2.72


Record 4
This record from the Alexandria database describes an optimized crystal structure of KDy2HgSe4. The functional is PBE.

Calculated values
E ... -34.8 eV/f.u.

abc: 4.2131 7.3870 15.4159
angles: 90.00 90.00 106.57
Last column: nearest neighbours and their distance in Å.
Element x y z (fractional)
K 0.1302 0.2605 0.7500  6 Se 3.23-3.53, 2 Hg 3.55
K 0.8698 0.7395 0.2500  6 Se 3.23-3.53, 2 Hg 3.55
Dy 0.3750 0.7500 0.5650  6 Se 2.91-3.08
Dy 0.6250 0.2500 0.0650  6 Se 2.91-3.08
Dy 0.6250 0.2500 0.4350  6 Se 2.91-3.08
Dy 0.3750 0.7500 0.9350  6 Se 2.91-3.08
Hg 0.8324 0.6648 0.7500  4 Se 2.75
Hg 0.1676 0.3352 0.2500  4 Se 2.75
Se 0.2629 0.5257 0.0942  1 Hg 2.75, 3 Dy 2.91-2.92
Se 0.7371 0.4743 0.5942  1 Hg 2.75, 3 Dy 2.91-2.92
Se 0.7371 0.4743 0.9058  1 Hg 2.75, 3 Dy 2.91-2.92
Se 0.2629 0.5257 0.4058  1 Hg 2.75, 3 Dy 2.91-2.92
Se 0.0000 0.0000 0.5000  4 Dy 2.93
Se 0.0000 0.0000 0.0000  4 Dy 2.93
Se 0.4570 0.9140 0.7500  2 Hg 2.75
Se 0.5430 0.0860 0.2500  2 Hg 2.75


Record 5
This record from the Alexandria database describes an optimized crystal structure of ZrAgIrPd. The functional is PBE.

Calculated values
E ... -27.1 eV/f.u.

abc: 4.6008 4.6008 4.6008
angles: 60.00 60.00 60.00
Last column: nearest neighbours and their distance in Å.
Element x y z (fractional)
Zr 0.7500 0.7500 0.7500  4 Ir 2.82, 4 Pd 2.82
Ir 0.5000 0.5000 0.5000  4 Ag 2.82, 4 Zr 2.82
Pd 0.0000 0.0000 0.0000  4 Zr 2.82, 4 Ag 2.82
Ag 0.2500 0.2500 0.2500  4 Ir 2.82, 4 Pd 2.82


Record 6
This record from the Alexandria database describes an optimized crystal structure of TaMnV2Sb. The functional is PBE.

Calculated values
E ... -40.5 eV/f.u.

abc: 4.3415 4.6850 4.3415
angles: 90.00 90.00 90.00
Last column: nearest neighbours and their distance in Å.
Element x y z (fractional)
Sb 0.5000 0.5000 0.5000  4 Ta 3.07, 8 V 3.19
V 0.0000 0.0000 0.5000  2 Mn 2.17
V 0.5000 0.0000 0.0000  2 Mn 2.17
Mn 0.0000 0.0000 0.0000  4 V 2.17, 2 Ta 2.34
Ta 0.0000 0.5000 0.0000  2 Mn 2.34


Record 7
This record from the Alexandria database describes an optimized crystal structure of SmDySi2Pt2. The functional is PBE.

Calculated values
E ... -39.1 eV/f.u.

abc: 4.1602 4.1602 8.2246
angles: 90.00 90.00 120.00
Last column: nearest neighbours and their distance in Å.
Element x y z (fractional)
Sm 0.0000 0.0000 0.0000  6 Si 3.18, 6 Pt 3.20
Dy 0.0000 0.0000 0.5000  6 Pt 3.12, 6 Si 3.14
Si 0.6667 0.3333 0.2540  3 Pt 2.40
Si 0.3333 0.6667 0.7460  3 Pt 2.40
Pt 0.6667 0.3333 0.7424  3 Si 2.40
Pt 0.3333 0.6667 0.2576  3 Si 2.40


Record 8
This record from the Alexandria database describes an optimized crystal structure of KRbSn. The functional is PBE.

Calculated values
Distance to the lowest polymorph of the same formula ... 0 meV per atom

abc: 7.2646 7.2646 7.5012
angles: 101.73 101.73 125.46
Last column: nearest neighbours and their distance in Å.
Element x y z (fractional)
K 0.1776 0.1776 0.3551  4 Sn 3.76, 2 K 3.86
K 0.8224 0.8224 0.6449  4 Sn 3.76, 2 K 3.86
Rb 0.3313 0.6687 0.0000  4 Sn 3.89, 3 Rb 3.93-4.36
Rb 0.6687 0.3313 0.0000  4 Sn 3.89, 3 Rb 3.93-4.36
Sn 0.7500 0.2500 0.5000  2 Sn 3.33
Sn 0.2500 0.7500 0.5000  2 Sn 3.33


Record 9
This record from the Alexandria database describes an optimized crystal structure of LiAlAu2C. The functional is PBE.

Calculated values
E ... -18.3 eV/f.u.

abc: 4.9988 3.8084 4.9988
angles: 90.00 90.00 90.00
Last column: nearest neighbours and their distance in Å.
Element x y z (fractional)
C 0.0000 0.5000 0.0000  2 Al 1.90
Au 0.0000 0.0000 0.5000  2 Al 2.50
Au 0.5000 0.0000 0.0000  2 Al 2.50
Al 0.0000 0.0000 0.0000  2 C 1.90
Li 0.5000 0.5000 0.5000  8 Au 3.14


Record 10
This record from the Alexandria database describes an optimized crystal structure of PaIn2Pd8. The functional is PBE.

Calculated values
Distance to the lowest polymorph of the same formula ... 0 meV per atom

abc: 4.1887 6.4811 7.5927
angles: 106.22 106.01 90.00
Last column: nearest neighbours and their distance in Å.
Element x y z (fractional)
Pa 0.5000 0.0000 0.0000  12 Pd 2.80-2.93
In 0.7826 0.3468 0.5651  10 Pd 2.75-3.01
In 0.2174 0.6532 0.4349  10 Pd 2.75-3.01
Pd 0.4061 0.5509 0.8121  3 In 2.83-3.01, 1 Pa 2.83, 8 Pd 2.87-3.02
Pd 0.6782 0.9181 0.3564  3 In 2.75-2.87, 1 Pa 2.80, 8 Pd 2.89-2.94
Pd 0.8607 0.8128 0.7213  7 Pd 2.83-2.94, 3 In 2.90-2.93, 2 Pa 2.93
Pd 0.9600 0.2718 0.9199  1 In 2.77, 9 Pd 2.83-3.02, 2 Pa 2.90
Pd 0.1393 0.1872 0.2787  7 Pd 2.83-2.94, 3 In 2.90-2.93, 2 Pa 2.93
Pd 0.3218 0.0819 0.6436  3 In 2.75-2.87, 1 Pa 2.80, 8 Pd 2.89-2.94
Pd 0.5939 0.4491 0.1879  3 In 2.83-3.01, 1 Pa 2.83, 8 Pd 2.87-3.02
Pd 0.0400 0.7282 0.0801  1 In 2.77, 9 Pd 2.83-3.02, 2 Pa 2.90


Record 11
This record from the Alexandria database describes an optimized crystal structure of Pr3Mg2Tl6. The functional is PBE.

Calculated values
E ... -33.9 eV/f.u.

abc: 4.7608 4.7608 14.4190
angles: 99.50 99.50 90.00
Last column: nearest neighbours and their distance in Å.
Element x y z (fractional)
Pr 0.0000 0.0000 0.0000  8 Mg 3.62, 8 Tl 3.82
Pr 0.8054 0.8054 0.6108  9 Tl 3.19-3.43
Pr 0.1946 0.1946 0.3892  9 Tl 3.19-3.43
Mg 0.4524 0.4524 0.9047  1 Mg 2.67, 4 Tl 2.90
Mg 0.5476 0.5476 0.0953  1 Mg 2.67, 4 Tl 2.90
Tl 0.1068 0.6068 0.2135  2 Mg 2.90
Tl 0.6068 0.1068 0.2135  2 Mg 2.90
Tl 0.8932 0.3932 0.7865  2 Mg 2.90
Tl 0.3932 0.8932 0.7865  2 Mg 2.90
Tl 0.6917 0.6917 0.3833  5 Pr 3.19-3.37, 4 Tl 3.37
Tl 0.3083 0.3083 0.6167  5 Pr 3.19-3.37, 4 Tl 3.37


Record 12
This record from the Alexandria database describes an optimized crystal structure of BaPmMgGa. The functional is PBE.

Calculated values
E ... -11.8 eV/f.u.

abc: 5.6020 5.6020 5.6020
angles: 60.00 60.00 60.00
Last column: nearest neighbours and their distance in Å.
Element x y z (fractional)
Mg 0.0000 0.0000 0.0000  4 Pm 3.43, 4 Ba 3.43
Ba 0.2500 0.2500 0.2500  4 Ga 3.43, 4 Mg 3.43
Ga 0.5000 0.5000 0.5000  4 Ba 3.43, 4 Pm 3.43
Pm 0.7500 0.7500 0.7500  4 Mg 3.43, 4 Ga 3.43


Record 13
This record from the Alexandria database describes an optimized crystal structure of Ru2Pt3Rh8. The functional is PBE.

Calculated values
E ... -92.1 eV/f.u.

abc: 4.4409 6.9851 6.9851
angles: 72.95 76.69 76.69
Last column: nearest neighbours and their distance in Å.
Element x y z (fractional)
Ru 0.3475 0.3261 0.3261  8 Rh 2.44-2.64
Ru 0.6525 0.6739 0.6739  8 Rh 2.44-2.64
Pt 0.5000 0.0000 0.0000  6 Rh 2.73-2.81, 4 Pt 2.87
Pt 0.0000 0.2199 0.7801  6 Rh 2.66-2.77, 2 Pt 2.87
Pt 0.0000 0.7801 0.2199  6 Rh 2.66-2.77, 2 Pt 2.87
Rh 0.2130 0.5654 0.5654  3 Ru 2.44-2.58, 4 Rh 2.55-2.71, 2 Pt 2.69
Rh 0.7870 0.4346 0.4346  3 Ru 2.44-2.58, 4 Rh 2.55-2.71, 2 Pt 2.69
Rh 0.9090 0.1790 0.1790  1 Ru 2.57, 3 Pt 2.66-2.81, 5 Rh 2.67-2.77
Rh 0.0910 0.8210 0.8210  1 Ru 2.57, 3 Pt 2.66-2.81, 5 Rh 2.67-2.77
Rh 0.6769 0.5886 0.0574  5 Rh 2.59-2.88, 2 Ru 2.59-2.64, 2 Pt 2.73-2.77
Rh 0.6769 0.0574 0.5886  5 Rh 2.59-2.88, 2 Ru 2.59-2.64, 2 Pt 2.73-2.77
Rh 0.3231 0.9426 0.4114  5 Rh 2.59-2.88, 2 Ru 2.59-2.64, 2 Pt 2.73-2.77
Rh 0.3231 0.4114 0.9426  5 Rh 2.59-2.88, 2 Ru 2.59-2.64, 2 Pt 2.73-2.77


Record 14
This record from the Alexandria database describes an optimized crystal structure of NpVB4. The functional is PBE.

Calculated values
E ... -52.2 eV/f.u.

abc: 3.5059 5.9307 11.4910
angles: 90.00 90.00 90.00
Last column: nearest neighbours and their distance in Å.
Element x y z (fractional)
Np 0.0000 0.6258 0.3488  14 B 2.62-2.75
Np 0.0000 0.3742 0.6512  14 B 2.62-2.75
Np 0.0000 0.1258 0.1512  14 B 2.62-2.75
Np 0.0000 0.8742 0.8488  14 B 2.62-2.75
V 0.0000 0.6287 0.0846  10 B 2.30-2.33, 1 V 2.47
V 0.0000 0.3713 0.9154  10 B 2.30-2.33, 1 V 2.47
V 0.0000 0.1287 0.4154  10 B 2.30-2.33, 1 V 2.47
V 0.0000 0.8713 0.5846  10 B 2.30-2.33, 1 V 2.47
B 0.5000 0.7851 0.1865  3 B 1.79-1.84
B 0.5000 0.2149 0.8135  3 B 1.79-1.84
B 0.5000 0.2851 0.3135  3 B 1.79-1.84
B 0.5000 0.7149 0.6865  3 B 1.79-1.84
B 0.5000 0.8660 0.0330  3 B 1.75-1.83
B 0.5000 0.1340 0.9670  3 B 1.75-1.83
B 0.5000 0.3660 0.4670  3 B 1.75-1.83
B 0.5000 0.6340 0.5330  3 B 1.75-1.83
B 0.5000 0.8850 0.4532  3 B 1.74-1.76
B 0.5000 0.1150 0.5468  3 B 1.74-1.76
B 0.5000 0.3850 0.0468  3 B 1.74-1.76
B 0.5000 0.6150 0.9532  3 B 1.74-1.76
B 0.5000 0.9743 0.3075  3 B 1.76-1.84
B 0.5000 0.0257 0.6925  3 B 1.76-1.84
B 0.5000 0.4743 0.1925  3 B 1.76-1.84
B 0.5000 0.5257 0.8075  3 B 1.76-1.84


Record 15
This record from the Alexandria database describes an optimized crystal structure of Tb5Y3H12. The functional is PBE.

Calculated values
E ... -92.2 eV/f.u.

abc: 11.3689 11.3689 11.3689
angles: 109.47 109.47 109.47
Last column: nearest neighbours and their distance in Å.
Element x y z (fractional)
Y 0.7500 0.3750 0.1250  8 H 2.24-2.44
Y 0.8750 0.7500 0.1250  8 H 2.24-2.44
Y 0.3750 0.7500 0.6250  8 H 2.24-2.44
Y 0.2500 0.1250 0.3750  8 H 2.24-2.44
Y 0.8750 0.1250 0.2500  8 H 2.24-2.44
Y 0.3750 0.6250 0.2500  8 H 2.24-2.44
Y 0.6250 0.3750 0.7500  8 H 2.24-2.44
Y 0.1250 0.8750 0.7500  8 H 2.24-2.44
Y 0.7500 0.8750 0.6250  8 H 2.24-2.44
Y 0.6250 0.2500 0.3750  8 H 2.24-2.44
Y 0.1250 0.2500 0.8750  8 H 2.24-2.44
Y 0.2500 0.6250 0.8750  8 H 2.24-2.44
Tb 0.1250 0.3750 0.2500  4 H 2.22
Tb 0.0000 0.5000 0.0000  6 H 2.23
Tb 0.0000 0.0000 0.0000  6 H 2.23
Tb 0.3750 0.2500 0.1250  4 H 2.22
Tb 0.5000 0.0000 0.5000  6 H 2.23
Tb 0.5000 0.5000 0.0000  6 H 2.23
Tb 0.1250 0.7500 0.3750  4 H 2.22
Tb 0.7500 0.1250 0.8750  4 H 2.22
Tb 0.7500 0.6250 0.3750  4 H 2.22
Tb 0.3750 0.1250 0.7500  4 H 2.22
Tb 0.6250 0.8750 0.2500  4 H 2.22
Tb 0.5000 0.5000 0.5000  6 H 2.23
Tb 0.5000 0.0000 0.0000  6 H 2.23
Tb 0.0000 0.0000 0.5000  6 H 2.23
Tb 0.2500 0.3750 0.6250  4 H 2.22
Tb 0.2500 0.8750 0.1250  4 H 2.22
Tb 0.0000 0.5000 0.5000  6 H 2.23
Tb 0.8750 0.2500 0.6250  4 H 2.22
Tb 0.6250 0.7500 0.8750  4 H 2.22
Tb 0.8750 0.6250 0.7500  4 H 2.22
H 0.7234 0.1551 0.0655  2 Tb 2.22-2.23, 2 Y 2.24-2.44, 1 H 2.33
H 0.3421 0.5655 0.4105  2 Tb 2.22-2.23, 2 Y 2.24-2.44, 1 H 2.33
H 0.9345 0.3449 0.2766  2 Tb 2.22-2.23, 2 Y 2.24-2.44, 1 H 2.33
H 0.5655 0.2234 0.1551  2 Tb 2.22-2.23, 2 Y 2.24-2.44, 1 H 2.33
H 0.5683 0.7234 0.6579  2 Tb 2.22-2.23, 2 Y 2.24-2.44, 1 H 2.33
H 0.9345 0.5895 0.1579  2 Tb 2.22-2.23, 2 Y 2.24-2.44, 1 H 2.33
H 0.3421 0.7766 0.4317  2 Tb 2.22-2.23, 2 Y 2.24-2.44, 1 H 2.33
H 0.0895 0.9317 0.1551  2 Tb 2.22-2.23, 2 Y 2.24-2.44, 1 H 2.33
H 0.5895 0.9345 0.6579  2 Tb 2.22-2.23, 2 Y 2.24-2.44, 1 H 2.33
H 0.7234 0.5683 0.1579  2 Tb 2.22-2.23, 2 Y 2.24-2.44, 1 H 2.33
H 0.7766 0.4345 0.3449  2 Tb 2.22-2.23, 2 Y 2.24-2.44, 1 H 2.33
H 0.8421 0.9105 0.0655  2 Tb 2.22-2.23, 2 Y 2.24-2.44, 1 H 2.33
H 0.1551 0.7234 0.5655  2 Tb 2.22-2.23, 2 Y 2.24-2.44, 1 H 2.33
H 0.3449 0.4105 0.0683  2 Tb 2.22-2.23, 2 Y 2.24-2.44, 1 H 2.33
H 0.0683 0.9105 0.3449  2 Tb 2.22-2.23, 2 Y 2.24-2.44, 1 H 2.33
H 0.4317 0.1551 0.5895  2 Tb 2.22-2.23, 2 Y 2.24-2.44, 1 H 2.33
H 0.0683 0.1579 0.2234  2 Tb 2.22-2.23, 2 Y 2.24-2.44, 1 H 2.33
H 0.4345 0.6579 0.0895  2 Tb 2.22-2.23, 2 Y 2.24-2.44, 1 H 2.33
H 0.8421 0.9317 0.2766  2 Tb 2.22-2.23, 2 Y 2.24-2.44, 1 H 2.33
H 0.1551 0.4317 0.0895  2 Tb 2.22-2.23, 2 Y 2.24-2.44, 1 H 2.33
H 0.3449 0.9345 0.7766  2 Tb 2.22-2.23, 2 Y 2.24-2.44, 1 H 2.33
H 0.5895 0.6551 0.4317  2 Tb 2.22-2.23, 2 Y 2.24-2.44, 1 H 2.33
H 0.9105 0.8421 0.5655  2 Tb 2.22-2.23, 2 Y 2.24-2.44, 1 H 2.33
H 0.7766 0.3421 0.9317  2 Tb 2.22-2.23, 2 Y 2.24-2.44, 1 H 2.33
H 0.4105 0.3449 0.5683  2 Tb 2.22-2.23, 2 Y 2.24-2.44, 1 H 2.33
H 0.0895 0.1579 0.4345  2 Tb 2.22-2.23, 2 Y 2.24-2.44, 1 H 2.33
H 0.2234 0.6579 0.0683  2 Tb 2.22-2.23, 2 Y 2.24-2.44, 1 H 2.33
H 0.1579 0.0683 0.7234  2 Tb 2.22-2.23, 2 Y 2.24-2.44, 1 H 2.33
H 0.6551 0.0655 0.2234  2 Tb 2.22-2.23, 2 Y 2.24-2.44, 1 H 2.33
H 0.8449 0.5683 0.9105  2 Tb 2.22-2.23, 2 Y 2.24-2.44, 1 H 2.33
H 0.5655 0.3421 0.9105  2 Tb 2.22-2.23, 2 Y 2.24-2.44, 1 H 2.33
H 0.5683 0.8449 0.4105  2 Tb 2.22-2.23, 2 Y 2.24-2.44, 1 H 2.33
H 0.9317 0.8421 0.7766  2 Tb 2.22-2.23, 2 Y 2.24-2.44, 1 H 2.33
H 0.9317 0.0895 0.6551  2 Tb 2.22-2.23, 2 Y 2.24-2.44, 1 H 2.33
H 0.8449 0.2766 0.4345  2 Tb 2.22-2.23, 2 Y 2.24-2.44, 1 H 2.33
H 0.1579 0.0895 0.9345  2 Tb 2.22-2.23, 2 Y 2.24-2.44, 1 H 2.33
H 0.6551 0.5895 0.9317  2 Tb 2.22-2.23, 2 Y 2.24-2.44, 1 H 2.33
H 0.4105 0.0655 0.3421  2 Tb 2.22-2.23, 2 Y 2.24-2.44, 1 H 2.33
H 0.2766 0.4317 0.8421  2 Tb 2.22-2.23, 2 Y 2.24-2.44, 1 H 2.33
H 0.2234 0.5655 0.6551  2 Tb 2.22-2.23, 2 Y 2.24-2.44, 1 H 2.33
H 0.9105 0.0683 0.8449  2 Tb 2.22-2.23, 2 Y 2.24-2.44, 1 H 2.33
H 0.6579 0.2234 0.5683  2 Tb 2.22-2.23, 2 Y 2.24-2.44, 1 H 2.33
H 0.4345 0.7766 0.8449  2 Tb 2.22-2.23, 2 Y 2.24-2.44, 1 H 2.33
H 0.0655 0.4105 0.8421  2 Tb 2.22-2.23, 2 Y 2.24-2.44, 1 H 2.33
H 0.4317 0.2766 0.3421  2 Tb 2.22-2.23, 2 Y 2.24-2.44, 1 H 2.33
H 0.0655 0.6551 0.7234  2 Tb 2.22-2.23, 2 Y 2.24-2.44, 1 H 2.33
H 0.6579 0.4345 0.5895  2 Tb 2.22-2.23, 2 Y 2.24-2.44, 1 H 2.33
H 0.2766 0.8449 0.9345  2 Tb 2.22-2.23, 2 Y 2.24-2.44, 1 H 2.33